(1)
{"formula": "Dy5YSe6", "functional": "PBE-GGA", "state": "relaxed", "cell": [[-5.699, -1.602, 3.817], [1.920, -1.460, 6.635], [0.298, 5.181, 4.810]], "species": ["Y", "Se", "Se", "Se", "Se", "Se", "Se", "Dy", "Dy", "Dy", "Dy", "Dy"], "fractional_positions": [[0.000, 0.000, 0.000], [0.749, 0.083, 0.334], [0.251, 0.582, 0.334], [0.250, 0.251, 0.000], [0.750, 0.749, 0.000], [0.749, 0.418, 0.666], [0.251, 0.917, 0.666], [0.500, 0.166, 0.668], [0.000, 0.334, 0.333], [0.500, 0.500, 0.000], [0.000, 0.666, 0.667], [0.500, 0.834, 0.332]], "energy_ev_per_cell": -71.413, "space_group": "C2/m", "volume_a3_per_cell": 287.2, "e_form_raw_ev_per_atom": -1.753}

***

(2)
{"formula": "SmHoSnHg", "functional": "PBE-GGA", "state": "relaxed", "cell": [[3.812, 0.000, 0.000], [0.000, 3.812, 0.000], [0.000, 0.000, 7.384]], "species": ["Sm", "Ho", "Sn", "Hg"], "fractional_positions": [[0.500, 0.500, 0.605], [0.500, 0.500, 0.112], [0.000, 0.000, 0.866], [0.000, 0.000, 0.345]], "ef_mev_per_atom": -562, "energy_ev_per_cell": -15.851, "relative_energy_mev_per_atom": 7.0, "space_group": "P4mm", "volume_a3_per_cell": 107.3}

***

(3)
{"formula": "Rb3AcP2O8", "functional": "PBE-GGA", "state": "relaxed", "cell": [[5.941, 0.000, 0.000], [-2.971, 5.145, 0.000], [0.000, 0.000, 8.596]], "species": ["Rb", "Rb", "Rb", "Ac", "P", "P", "O", "O", "O", "O", "O", "O", "O", "O"], "fractional_positions": [[0.333, 0.667, 0.766], [0.667, 0.333, 0.234], [0.000, 0.000, 0.000], [0.000, 0.000, 0.500], [0.333, 0.667, 0.258], [0.667, 0.333, 0.742], [0.333, 0.667, 0.080], [0.667, 0.333, 0.920], [0.190, 0.810, 0.322], [0.810, 0.190, 0.678], [0.190, 0.381, 0.322], [0.810, 0.619, 0.678], [0.619, 0.810, 0.322], [0.381, 0.190, 0.678]], "energy_ev_per_cell": -93.121, "space_group": "P-3m1", "volume_a3_per_cell": 262.8, "e_form_raw_ev_per_atom": -2.545}

***

(4)
{"formula": "Cs2SbSe3", "functional": "PBE-GGA", "state": "relaxed", "cell": [[-0.201, -2.060, 7.958], [5.976, -3.415, -4.982], [10.830, 13.468, 3.760]], "species": ["Cs", "Cs", "Cs", "Cs", "Cs", "Cs", "Cs", "Cs", "Sb", "Sb", "Sb", "Sb", "Se", "Se", "Se", "Se", "Se", "Se", "Se", "Se", "Se", "Se", "Se", "Se"], "fractional_positions": [[0.560, 0.119, 0.658], [0.643, 0.285, 0.072], [0.060, 0.119, 0.842], [0.857, 0.715, 0.572], [0.940, 0.881, 0.158], [0.440, 0.881, 0.342], [0.143, 0.285, 0.428], [0.357, 0.715, 0.928], [0.756, 0.513, 0.841], [0.744, 0.487, 0.341], [0.256, 0.513, 0.659], [0.244, 0.487, 0.159], [0.549, 0.599, 0.750], [0.951, 0.401, 0.250], [0.590, 0.180, 0.867], [0.850, 0.699, 0.960], [0.150, 0.301, 0.040], [0.910, 0.820, 0.367], [0.650, 0.301, 0.460], [0.350, 0.699, 0.540], [0.090, 0.180, 0.633], [0.410, 0.820, 0.133], [0.049, 0.599, 0.750], [0.451, 0.401, 0.250]], "energy_ev_per_cell": -84.509, "relative_energy_mev_per_atom": 0.0, "space_group": "Cmce", "volume_a3_per_cell": 1081.4, "e_form_raw_ev_per_atom": -0.807}

***

(5)
{"formula": "Pm4SiS2Cl", "functional": "PBE-GGA", "state": "relaxed", "cell": [[-0.387, 1.019, 5.666], [4.674, -3.259, 0.908], [1.259, 5.828, -3.901]], "species": ["Pm", "Pm", "Pm", "Pm", "Si", "S", "S", "Cl"], "fractional_positions": [[0.937, 0.437, 0.000], [0.437, 0.937, 0.000], [0.178, 0.178, 0.482], [0.696, 0.696, 0.518], [0.937, 0.937, 0.000], [0.187, 0.687, 0.500], [0.687, 0.187, 0.500], [0.437, 0.437, 0.000]], "energy_ev_per_cell": -47.404, "space_group": "I4/mmm", "volume_a3_per_cell": 194.5, "e_form_raw_ev_per_atom": -1.610}

***

(6)
{"formula": "Nd2HoEr6Tm", "functional": "PBE-GGA", "state": "relaxed", "cell": [[9.114, -2.136, -2.217], [0.749, 8.441, -2.002], [0.749, -2.314, 8.361]], "species": ["Nd", "Nd", "Nd", "Nd", "Ho", "Ho", "Er", "Er", "Er", "Er", "Er", "Er", "Er", "Er", "Er", "Er", "Er", "Er", "Tm", "Tm"], "fractional_positions": [[0.457, 0.806, 0.702], [0.043, 0.298, 0.194], [0.543, 0.194, 0.298], [0.957, 0.702, 0.806], [0.250, 0.982, 0.018], [0.750, 0.018, 0.982], [0.057, 0.126, 0.745], [0.443, 0.255, 0.874], [0.943, 0.874, 0.255], [0.557, 0.745, 0.126], [0.313, 0.979, 0.424], [0.187, 0.576, 0.021], [0.687, 0.021, 0.576], [0.813, 0.424, 0.979], [0.119, 0.708, 0.497], [0.381, 0.503, 0.292], [0.881, 0.292, 0.503], [0.619, 0.497, 0.708], [0.250, 0.407, 0.593], [0.750, 0.593, 0.407]], "ef_mev_per_atom": 117, "energy_ev_per_cell": -89.585, "space_group": "C2/c", "volume_a3_per_cell": 635.5}

***

(7)
{"formula": "Mo2AsC", "functional": "PBE-GGA", "state": "relaxed", "cell": [[-2.021, -1.609, 3.295], [-2.328, 2.479, 2.442], [-4.173, -0.327, -0.059]], "species": ["C", "Mo", "Mo", "As"], "fractional_positions": [[0.000, 0.000, 0.000], [0.250, 0.250, 0.250], [0.750, 0.750, 0.750], [0.500, 0.500, 0.500]], "ef_mev_per_atom": 712, "energy_ev_per_cell": -32.688, "relative_energy_mev_per_atom": 734.0, "space_group": "Fm-3m", "volume_a3_per_cell": 51.9}

***

(8)
{"formula": "SrInSi2", "functional": "PBE-GGA", "state": "relaxed", "cell": [[-2.755, 2.606, 0.331], [-2.592, -2.787, -0.085], [0.321, -0.500, 6.609]], "species": ["In", "Si", "Si", "Sr"], "fractional_positions": [[0.500, 0.500, 0.750], [0.000, 0.000, 0.932], [0.000, 0.000, 0.568], [0.500, 0.500, 0.250]], "energy_ev_per_cell": -15.341, "space_group": "Cmmm", "volume_a3_per_cell": 96.2, "e_form_raw_ev_per_atom": -0.019}